Crystalline BaSi2As at its relaxed geometry, computed with PBE.

Symmetry: Imm2 (44)
Formation energy (no corrections): 22 meV per atom
V: 25.52 A^3/atom
D(E_F): 3.2 states/eV/f.u.

abc: 3.5564 6.1632 9.3157
angles: 90.00 90.00 90.00
Fractional positions:
Ba 0.0000 0.0000 0.0000
Ba 0.5000 0.5000 0.5000
Si 0.0000 0.0000 0.4951
Si 0.0000 0.5000 0.8149
Si 0.5000 0.0000 0.3149
Si 0.5000 0.5000 0.9951
As 0.0000 0.5000 0.1800
As 0.5000 0.0000 0.6800